Entry 1:
The following is a PBE calculation of an optimized crystal structure of TbDyYTh, from Alexandria.

Cell and atoms, written as POSCAR:
```
TbDyYTh
1.0
5.6798 0.0000 0.0000
2.8399 4.9189 0.0000
2.8399 1.6396 4.6376
Y Tb Th Dy
1 1 1 1
Direct
0.2500 0.2500 0.2500 Y
0.5000 0.5000 0.5000 Tb
0.0000 0.0000 0.0000 Th
0.7500 0.7500 0.7500 Dy
```

Computed properties:
Crystal system = cubic
Energy above the lowest structure with this stoichiometry = 0.144 eV per atom

---

Entry 2:
The following is a PBE calculation of an optimized crystal structure of AcTb2YHo, from Alexandria.

Cell and atoms, written as POSCAR:
```
AcTb2YHo
1.0
5.8298 0.0000 0.0000
0.0000 9.8331 -0.0977
0.0000 -2.0795 6.0383
Ac Tb Y Ho
2 4 2 2
Direct
0.2500 0.1061 0.9694 Ac
0.7500 0.8939 0.0306 Ac
0.7500 0.6980 0.4294 Tb
0.2500 0.3020 0.5706 Tb
0.7500 0.4966 0.8359 Tb
0.2500 0.5034 0.1641 Tb
0.2500 0.6860 0.7550 Y
0.7500 0.3140 0.2450 Y
0.2500 0.8933 0.3714 Ho
0.7500 0.1067 0.6286 Ho
```

Computed properties:
Crystal system = monoclinic

---

Entry 3:
The following is a PBE calculation of an optimized crystal structure of TmMgNi2, from Alexandria.

Cell and atoms, written as POSCAR:
```
TmMgNi2
1.0
3.6197 0.0000 -0.0245
0.0000 3.9359 0.0000
-1.7774 0.0000 4.9010
Tm Mg Ni
1 1 2
Direct
0.7292 0.0000 0.9971 Tm
0.4393 0.5000 0.4182 Mg
0.1514 0.5000 0.8415 Ni
0.0110 0.0000 0.5612 Ni
```

Computed properties:
Crystal system = orthorhombic
Energy above the lowest structure with this stoichiometry = 0.000 eV per atom

---

Entry 4:
The following is a PBE calculation of an optimized crystal structure of ScBe10V, from Alexandria.

Cell and atoms, written as POSCAR:
```
ScBe10V
1.0
-1.2995 1.9128 2.5344
-0.2769 -3.5870 2.5653
7.0031 1.3167 2.5970
Sc Be V
1 10 1
Direct
0.0000 0.5000 0.5000 Sc
0.0000 0.0000 0.3202 Be
0.0000 0.5000 0.8492 Be
0.0000 0.5000 0.1508 Be
0.0000 0.0000 0.6798 Be
0.5000 0.0000 0.5000 Be
0.5000 0.5000 0.0000 Be
0.5000 0.2415 0.2358 Be
0.5000 0.7585 0.7642 Be
0.5000 0.7585 0.2358 Be
0.5000 0.2415 0.7642 Be
0.0000 0.0000 0.0000 V
```

Computed properties:
Crystal system = orthorhombic

---

Calculated DFT formation energy in order - 0.15; 0.04; -0.33; -0.16 eV per atom